1.
Compound: NdY3Tm4
Source: Alexandria via LeMat-Bulk
Functional: PBE
Structure: optimized geometry

POSCAR file:
```
NdY3Tm4
1.0
6.257 0.000 0.000
0.000 7.258 0.000
0.000 0.000 11.229
Nd Y Tm
2 6 8
direct
0.645 0.628 0.500
0.145 0.372 0.000
0.982 0.628 0.750
0.645 0.628 0.000
0.482 0.372 0.250
0.145 0.372 0.500
0.482 0.372 0.750
0.982 0.628 0.250
0.981 0.122 0.251
0.481 0.878 0.751
0.150 0.879 0.500
0.649 0.121 0.500
0.650 0.121 0.000
0.981 0.122 0.749
0.149 0.879 0.000
0.481 0.878 0.249
```

Values from the calculation:
- DOS(E_F): 1.689 states/eV per atom
- Space group: Pmn2_1, No. 31
- Excess energy over the best structure of this formula in the dataset: 0 meV/atom
- Formation enthalpy at 0 K: 0.0055 eV/atom
- Size of the total moment: 0.000 μB per formula unit


2.
Compound: Nd4Y9Tm11
Source: Alexandria via LeMat-Bulk
Functional: PBE
Structure: optimized geometry

POSCAR file:
```
Nd4Y9Tm11
1.0
-3.463 -0.212 -1.237
4.030 -11.002 -9.395
-4.467 -5.136 13.387
Tm Nd Y
11 4 9
direct
0.000 0.593 0.955
0.000 0.841 0.159
0.000 0.287 0.287
0.000 0.713 0.713
0.000 0.000 0.000
0.000 0.955 0.593
0.000 0.364 0.636
0.000 0.407 0.045
0.000 0.045 0.407
0.000 0.636 0.364
0.000 0.159 0.841
0.500 0.554 0.754
0.500 0.446 0.246
0.500 0.246 0.446
0.500 0.754 0.554
0.500 0.212 0.066
0.500 0.839 0.367
0.500 0.633 0.161
0.500 0.066 0.212
0.500 0.500 0.500
0.500 0.934 0.788
0.500 0.367 0.839
0.500 0.788 0.934
0.500 0.161 0.633
```

Values from the calculation:
- DOS(E_F): 1.217 states/eV per atom
- Space group: Cmmm, No. 65
- Formation enthalpy at 0 K: 0.0524 eV/atom
- Size of the total moment: 1.429 μB per formula unit


3.
Compound: Nd7Y2Tm
Source: Alexandria via LeMat-Bulk
Functional: PBE
Structure: optimized geometry

POSCAR file:
```
Nd7Y2Tm
1.0
5.458 0.000 0.000
0.000 9.710 -0.859
0.000 -5.147 8.278
Y Nd Tm
2 7 1
direct
0.500 0.707 0.293
0.500 0.293 0.707
0.000 0.200 0.800
0.500 0.712 0.929
0.000 0.800 0.200
0.500 0.071 0.288
0.500 0.929 0.712
0.500 0.500 0.500
0.500 0.288 0.071
0.000 0.000 0.000
```

Values from the calculation:
- DOS(E_F): 1.520 states/eV per atom
- Space group: Cmmm, No. 65
- Excess energy over the best structure of this formula in the dataset: 252 meV/atom
- Formation enthalpy at 0 K: 0.6417 eV/atom
- Size of the total moment: 0.000 μB per formula unit


4.
Compound: Nd6YTm2
Source: Alexandria via LeMat-Bulk
Functional: PBE
Structure: optimized geometry

POSCAR file:
```
Nd6YTm2
1.0
6.161 0.959 0.929
2.992 10.454 -0.098
2.992 0.241 10.451
Nd Tm Y
12 4 2
direct
0.187 0.007 0.577
0.264 0.849 0.937
0.813 0.993 0.423
0.764 0.937 0.849
0.404 0.673 0.437
0.904 0.437 0.673
0.596 0.327 0.563
0.236 0.063 0.151
0.313 0.423 0.993
0.096 0.563 0.327
0.736 0.151 0.063
0.687 0.577 0.007
0.205 0.630 0.764
0.705 0.764 0.630
0.795 0.370 0.236
0.295 0.236 0.370
0.250 0.180 0.820
0.750 0.820 0.180
```

Values from the calculation:
- DOS(E_F): 1.405 states/eV per atom
- Space group: C2/c, No. 15
- Excess energy over the best structure of this formula in the dataset: 144 meV/atom
- Formation enthalpy at 0 K: 0.1980 eV/atom
- Size of the total moment: 0.000 μB per formula unit


5.
Compound: NdY2Tm4
Source: Alexandria via LeMat-Bulk
Functional: PBE
Structure: optimized geometry

POSCAR file:
```
NdY2Tm4
1.0
1.566 -6.676 5.369
-4.373 -4.500 -8.098
7.372 4.352 2.371
Tm Y Nd
8 4 2
direct
0.948 0.158 0.239
0.737 0.560 0.767
0.728 0.847 0.646
0.390 0.601 0.611
0.501 0.500 0.033
0.952 0.922 0.395
0.363 0.906 0.523
0.305 0.142 0.391
0.798 0.330 0.906
0.559 0.224 0.138
0.150 0.546 0.876
0.596 0.961 0.251
0.073 0.754 0.685
0.149 0.300 0.037
```

Values from the calculation:
- DOS(E_F): 1.736 states/eV per atom
- Space group: P1, No. 1
- Excess energy over the best structure of this formula in the dataset: 34 meV/atom
- Formation enthalpy at 0 K: 0.0765 eV/atom
- Size of the total moment: 0.000 μB per formula unit


6.
Compound: Nd15Y4Tm
Source: Alexandria via LeMat-Bulk
Functional: PBE
Structure: optimized geometry

POSCAR file:
```
Nd15Y4Tm
1.0
-5.155 -0.336 0.075
0.301 -3.846 3.436
-0.836 17.100 19.217
Y Tm Nd
4 1 15
direct
0.000 0.000 0.600
0.000 0.000 0.400
0.000 0.000 0.801
0.000 0.000 0.199
0.000 0.000 0.000
0.500 0.000 0.300
0.500 0.500 0.400
0.500 0.500 0.600
0.500 0.000 0.099
0.000 0.500 0.099
0.000 0.500 0.901
0.000 0.500 0.500
0.500 0.500 0.801
0.500 0.000 0.700
0.500 0.500 0.000
0.500 0.000 0.500
0.000 0.500 0.700
0.500 0.000 0.901
0.500 0.500 0.199
0.000 0.500 0.300
```

Values from the calculation:
- DOS(E_F): 1.347 states/eV per atom
- Space group: P4/mmm, No. 123
- Formation enthalpy at 0 K: 0.0092 eV/atom
- Size of the total moment: 0.000 μB per formula unit


7.
Compound: Nd3Y2Tm2
Source: Alexandria via LeMat-Bulk
Functional: PBE
Structure: optimized geometry

POSCAR file:
```
Nd3Y2Tm2
1.0
-1.240 -2.839 -1.833
-3.930 -2.996 10.810
-6.220 0.299 0.197
Nd Tm Y
3 2 2
direct
0.000 0.000 0.000
0.428 0.570 0.714
0.572 0.430 0.286
0.712 0.284 0.860
0.288 0.716 0.140
0.142 0.857 0.573
0.858 0.143 0.427
```

Values from the calculation:
- DOS(E_F): 1.275 states/eV per atom
- Space group: C2/m, No. 12
- Excess energy over the best structure of this formula in the dataset: 0 meV/atom
- Formation enthalpy at 0 K: 0.0185 eV/atom
- Size of the total moment: 0.000 μB per formula unit


8.
Compound: Nd5Y6Tm2
Source: Alexandria via LeMat-Bulk
Functional: PBE
Structure: optimized geometry

POSCAR file:
```
Nd5Y6Tm2
1.0
-2.674 -2.339 -0.625
7.327 -6.723 -6.187
5.018 -10.327 17.165
Y Nd Tm
12 10 4
direct
0.000 0.417 0.869
0.000 0.583 0.131
0.500 0.826 0.360
0.000 0.940 0.918
0.000 0.560 0.418
0.000 0.060 0.082
0.500 0.674 0.860
0.000 0.917 0.631
0.500 0.174 0.640
0.500 0.326 0.140
0.000 0.440 0.582
0.000 0.083 0.369
0.500 0.000 0.500
0.500 0.085 0.228
0.500 0.415 0.728
0.500 0.500 0.000
0.500 0.801 0.050
0.500 0.915 0.772
0.500 0.585 0.272
0.500 0.199 0.950
0.500 0.301 0.450
0.500 0.699 0.550
0.000 0.831 0.209
0.000 0.331 0.291
0.000 0.669 0.709
0.000 0.169 0.791
```

Values from the calculation:
- DOS(E_F): 1.285 states/eV per atom
- Space group: Pbam, No. 55
- Formation enthalpy at 0 K: 0.0946 eV/atom
- Size of the total moment: 0.000 μB per formula unit


9.
Compound: Nd8YTm6
Source: Alexandria via LeMat-Bulk
Functional: PBE
Structure: optimized geometry

POSCAR file:
```
Nd8YTm6
1.0
6.536 0.000 0.000
0.000 8.152 -4.707
0.000 0.000 9.413
Nd Tm Y
8 6 1
direct
0.121 0.667 0.333
0.166 0.749 0.038
0.166 0.962 0.710
0.879 0.333 0.667
0.166 0.290 0.251
0.834 0.710 0.749
0.834 0.038 0.290
0.834 0.251 0.962
0.657 0.438 0.342
0.343 0.562 0.658
0.657 0.658 0.096
0.343 0.342 0.904
0.657 0.904 0.562
0.343 0.096 0.438
0.500 0.000 0.000
```

Values from the calculation:
- DOS(E_F): 1.456 states/eV per atom
- Space group: P-3, No. 147
- Formation enthalpy at 0 K: 0.1767 eV/atom
- Size of the total moment: 0.000 μB per formula unit


10.
Compound: NdY12Tm2
Source: Alexandria via LeMat-Bulk
Functional: PBE
Structure: optimized geometry

POSCAR file:
```
NdY12Tm2
1.0
-1.735 6.437 0.426
0.699 -2.432 -6.182
-23.878 -6.424 -0.174
Y Tm Nd
24 4 2
direct
0.749 0.751 0.079
0.500 0.500 0.201
0.500 0.500 0.326
0.750 0.250 0.869
0.261 0.761 0.412
0.000 0.000 0.326
0.239 0.739 0.588
0.264 0.236 0.561
0.750 0.250 0.131
0.500 0.500 0.799
0.000 0.000 0.799
0.236 0.264 0.439
0.751 0.749 0.921
0.761 0.261 0.588
0.249 0.251 0.921
0.251 0.249 0.079
0.736 0.764 0.561
0.500 0.500 0.674
0.250 0.750 0.131
0.250 0.750 0.869
0.000 0.000 0.201
0.000 0.000 0.674
0.764 0.736 0.439
0.739 0.239 0.412
0.000 0.500 0.269
0.500 0.000 0.267
0.000 0.500 0.733
0.500 0.000 0.731
0.500 0.000 0.000
0.000 0.500 0.000
```

Values from the calculation:
- DOS(E_F): 1.922 states/eV per atom
- Space group: Cmme, No. 67
- Formation enthalpy at 0 K: 0.1786 eV/atom
- Size of the total moment: 0.000 μB per formula unit


11.
Compound: Nd4YTm7
Source: Alexandria via LeMat-Bulk
Functional: PBE
Structure: optimized geometry

POSCAR file:
```
Nd4YTm7
1.0
6.024 -1.302 2.950
1.244 5.942 2.486
2.841 -1.950 11.329
Nd Y Tm
4 1 7
direct
0.304 0.168 0.309
0.485 0.361 0.710
0.515 0.639 0.290
0.696 0.832 0.691
0.000 0.000 0.000
0.941 0.682 0.353
0.800 0.513 0.953
0.276 0.814 0.620
0.200 0.487 0.047
0.500 0.000 0.000
0.059 0.318 0.647
0.724 0.186 0.380
```

Values from the calculation:
- DOS(E_F): 1.570 states/eV per atom
- Space group: P-1, No. 2
- Excess energy over the best structure of this formula in the dataset: 0 meV/atom
- Formation enthalpy at 0 K: 0.0879 eV/atom
- Size of the total moment: 0.000 μB per formula unit


12.
Compound: NdY5Tm6
Source: Alexandria via LeMat-Bulk
Functional: PBE
Structure: optimized geometry

POSCAR file:
```
NdY5Tm6
1.0
11.594 -1.740 0.000
1.951 5.814 0.000
0.976 2.907 5.305
Tm Y Nd
6 5 1
direct
0.251 0.249 0.000
0.251 0.583 0.333
0.749 0.417 0.667
0.749 0.751 0.000
0.749 0.084 0.333
0.251 0.916 0.667
0.500 0.833 0.334
0.500 0.167 0.666
0.000 0.667 0.667
0.000 0.333 0.333
0.500 0.500 0.000
0.000 0.000 0.000
```

Values from the calculation:
- DOS(E_F): 1.451 states/eV per atom
- Space group: C2/m, No. 12
- Formation enthalpy at 0 K: 0.0278 eV/atom
- Size of the total moment: 0.000 μB per formula unit